Computed, not measured: crystalline PdN2 at its relaxed geometry at the PBE level of DFT.

CIF file:
```
data_PdN2
_chemical_formula_sum 'Pd2 N4'
_symmetry_space_group_name_H-M 'P 42/m n m'
_symmetry_Int_Tables_number 136
_symmetry_space_group_name_Hall '-P 4n 2n'
_cell_length_a 4.5858
_cell_length_b 4.5858
_cell_length_c 3.1648
_cell_angle_alpha 90.00
_cell_angle_beta 90.00
_cell_angle_gamma 90.00
loop_
_atom_site_label
_atom_site_type_symbol
_atom_site_fract_x
_atom_site_fract_y
_atom_site_fract_z
_atom_site_occupancy
Pd1 Pd 0.0000 0.0000 0.0000 1
N1 N 0.1927 0.1927 0.5000 1
```

Properties
Total energy (eV/f.u.): -16.65

***

Computed, not measured: crystalline Hf4AlN3 at its relaxed geometry at the PBE level of DFT.

CIF file:
```
data_Hf4AlN3
_chemical_formula_sum 'Hf8 Al2 N6'
_symmetry_space_group_name_H-M 'P 63/m m c'
_symmetry_Int_Tables_number 194
_symmetry_space_group_name_Hall '-P 6c 2c'
_cell_length_a 3.1864
_cell_length_b 3.1864
_cell_length_c 24.7219
_cell_angle_alpha 90.00
_cell_angle_beta 90.00
_cell_angle_gamma 120.00
loop_
_atom_site_label
_atom_site_type_symbol
_atom_site_fract_x
_atom_site_fract_y
_atom_site_fract_z
_atom_site_occupancy
Hf1 Hf 0.0000 0.0000 0.1582 1
Hf2 Hf 0.3333 0.6667 0.0548 1
Al1 Al 0.3333 0.6667 0.2500 1
N1 N 0.0000 0.0000 0.0000 1
N2 N 0.3333 0.6667 0.6058 1
```

Properties
Total energy (eV/f.u.): -80.01